A plane-wave DFT calculation with GGA-PBE was carried out for a geometry-optimized Pr2NdAl7Au2 structure.

Output
Total magnetic moment in μB/cell: 0.0
Raw total energy in eV per cell: -54.104
Volume in Å³/atom: 20.71

Structure (extended XYZ):
```
12
Lattice="-5.853 5.010 5.491 -0.931 4.470 8.287 -1.453 8.365 4.176" Properties=species:S:1:pos:R:3 pbc="T T T"
Al -4.080 6.160 8.376
Al -6.417 9.962 10.254
Al -3.888 9.684 11.690
Al -4.119 8.922 8.977
Al -4.349 8.160 6.264
Al -1.820 7.883 7.700
Al -4.157 11.684 9.579
Au -2.774 6.009 6.046
Au -5.463 11.836 11.909
Nd 0.000 0.000 0.000
Pr -1.170 2.535 2.550
Pr -7.067 15.310 15.404
```

A plane-wave DFT calculation with GGA-PBE was carried out for a geometry-optimized LiAg3Te4W structure.

Output
Total magnetic moment in μB/cell: 2.0
Raw total energy in eV per cell: -35.800
Volume in Å³/atom: 30.65

Structure (extended XYZ):
```
9
Lattice="6.509 0.000 0.000 0.000 6.509 0.000 0.000 0.000 6.509" Properties=species:S:1:pos:R:3 pbc="T T T"
Ag 3.255 3.255 0.000
Ag 3.255 0.000 3.255
Ag 0.000 3.255 3.255
Li 0.000 0.000 0.000
Te 1.695 1.695 1.695
Te 4.815 4.815 1.695
Te 4.815 1.695 4.815
Te 1.695 4.815 4.815
W 3.255 3.255 3.255
```

A plane-wave DFT calculation with GGA-PBE was carried out for a geometry-optimized TmClO structure.

Output
Total magnetic moment in μB/cell: 0.0
Raw total energy in eV per cell: -41.158
Volume in Å³/atom: 20.69

Structure (extended XYZ):
```
6
Lattice="3.693 0.000 0.000 0.000 4.111 0.000 0.000 0.000 8.177" Properties=species:S:1:pos:R:3 pbc="T T T"
Cl 0.000 0.000 2.907
Cl 1.847 2.056 5.270
O 1.847 2.056 0.270
O 0.000 0.000 7.907
Tm 1.847 0.000 1.034
Tm 0.000 2.056 7.143
```

A plane-wave DFT calculation with GGA-PBE was carried out for a geometry-optimized PuHfSbAs structure.

Output
Total magnetic moment in μB/cell: 10.9
Raw total energy in eV per cell: -72.307
Volume in Å³/atom: 24.73

Structure (extended XYZ):
```
8
Lattice="4.040 0.000 0.000 -2.020 3.499 0.000 0.000 0.000 13.998" Properties=species:S:1:pos:R:3 pbc="T T T"
As 0.000 0.000 3.203
As 0.000 0.000 10.795
Hf 0.000 2.332 1.803
Hf 0.000 2.332 12.195
Pu 2.020 1.166 4.927
Pu 2.020 1.166 9.071
Sb 2.020 1.166 0.000
Sb 0.000 2.332 6.999
```

A plane-wave DFT calculation with GGA-PBE was carried out for a geometry-optimized YErSbCl2 structure.

Output
Total magnetic moment in μB/cell: 0.0
Raw total energy in eV per cell: -26.916
Volume in Å³/atom: 31.13

Structure (extended XYZ):
```
5
Lattice="-3.874 0.474 -1.362 2.152 -3.377 -1.025 -3.615 -4.905 8.575" Properties=species:S:1:pos:R:3 pbc="T T T"
Cl -1.139 -1.545 2.702
Cl -2.343 -5.467 4.761
Er -3.006 -4.080 7.132
Sb -5.471 -5.702 7.304
Y -0.464 -2.918 0.304
```

A plane-wave DFT calculation with GGA-PBE was carried out for a geometry-optimized Zr2InSbPd2 structure.

Output
Total magnetic moment in μB/cell: 0.0
Raw total energy in eV per cell: -77.129
Volume in Å³/atom: 22.73

Structure (extended XYZ):
```
12
Lattice="-1.004 6.325 -0.718 -2.523 0.272 5.923 4.195 4.526 5.084" Properties=species:S:1:pos:R:3 pbc="T T T"
In 0.000 0.000 0.000
In -0.046 4.048 6.805
Pd -0.640 2.090 4.851
Pd 0.092 5.120 1.595
Pd 1.818 5.903 5.761
Pd 0.066 9.131 8.372
Sb -1.763 3.298 2.603
Sb 0.714 7.074 3.484
Zr -2.992 3.441 5.578
Zr -0.581 7.203 6.432
Zr 1.249 3.919 3.857
Zr 2.900 4.655 8.032
```

A plane-wave DFT calculation with GGA-PBE was carried out for a geometry-optimized Nd4CoI5 structure.

Output
Total magnetic moment in μB/cell: 0.0
Raw total energy in eV per cell: -44.467
Volume in Å³/atom: 36.54

Structure (extended XYZ):
```
10
Lattice="9.892 -2.082 0.000 9.892 2.082 0.000 -2.041 0.000 8.872" Properties=species:S:1:pos:R:3 pbc="T T T"
Co 9.892 0.000 0.000
I 15.976 0.000 1.541
I 2.596 0.000 3.082
I 8.872 0.000 4.436
I 15.148 0.000 5.790
I 1.768 0.000 7.331
Nd 12.562 0.000 0.667
Nd 19.364 0.000 1.782
Nd -1.620 0.000 7.089
Nd 5.182 0.000 8.204
```

A plane-wave DFT calculation with GGA-PBE was carried out for a geometry-optimized TaZnGa structure.

Output
Total magnetic moment in μB/cell: 0.0
Raw total energy in eV per cell: -14.449
Volume in Å³/atom: 19.52

Structure (extended XYZ):
```
3
Lattice="-3.609 -2.368 0.609 -3.453 0.581 -2.597 -1.100 -3.078 -2.884" Properties=species:S:1:pos:R:3 pbc="T T T"
Ga -2.040 -1.216 -1.218
Ta 0.000 0.000 0.000
Zn -6.121 -3.649 -3.654
```

A plane-wave DFT calculation with GGA-PBE was carried out for a geometry-optimized AgSBr6 structure.

Output
Raw total energy in eV per cell: -12.689
Volume in Å³/atom: 30.16

Structure (extended XYZ):
```
8
Lattice="0.000 4.941 4.941 4.941 0.000 4.941 4.941 4.941 0.000" Properties=species:S:1:pos:R:3 pbc="T T T"
Ag 4.941 4.941 4.941
Br 2.366 4.941 4.941
Br 4.941 2.366 4.941
Br 4.941 4.941 7.516
Br 4.941 4.941 2.366
Br 4.941 7.516 4.941
Br 7.516 4.941 4.941
S 2.471 2.471 2.471
```

A plane-wave DFT calculation with GGA-PBE was carried out for a geometry-optimized BaHfAl structure.

Output
Total magnetic moment in μB/cell: 0.4
Raw total energy in eV per cell: -13.092
Volume in Å³/atom: 30.56

Structure (extended XYZ):
```
3
Lattice="0.000 3.579 3.579 3.579 0.000 3.579 3.579 3.579 0.000" Properties=species:S:1:pos:R:3 pbc="T T T"
Al 1.790 1.790 1.790
Ba 5.369 5.369 5.369
Hf 0.000 0.000 0.000
```

A plane-wave DFT calculation with GGA-PBE was carried out for a geometry-optimized TlFeAg2 structure.

Output
Total magnetic moment in μB/cell: 2.8
Raw total energy in eV per cell: -14.630
Volume in Å³/atom: 17.38

Structure (extended XYZ):
```
4
Lattice="0.000 3.263 3.263 3.263 0.000 3.263 3.263 3.263 0.000" Properties=species:S:1:pos:R:3 pbc="T T T"
Ag 0.000 0.000 0.000
Ag 4.895 4.895 4.895
Fe 1.632 1.632 1.632
Tl 3.263 3.263 3.263
```

A plane-wave DFT calculation with GGA-PBE was carried out for a geometry-optimized PmGePd structure.

Output
Total magnetic moment in μB/cell: 0.0
Raw total energy in eV per cell: -17.355
Volume in Å³/atom: 21.39
Excess energy over the best structure of this formula in the dataset in meV per atom: 0.0

Structure (extended XYZ):
```
3
Lattice="-1.215 4.293 0.566 -2.899 -2.941 -1.782 -1.251 -0.795 3.349" Properties=species:S:1:pos:R:3 pbc="T T T"
Ge -2.338 -0.529 -0.999
Pd 0.000 0.000 0.000
Pm -2.402 1.484 1.458
```

A plane-wave DFT calculation with GGA-PBE was carried out for a geometry-optimized BaHfIn structure.

Output
Total magnetic moment in μB/cell: 0.7
Raw total energy in eV per cell: -12.503
Volume in Å³/atom: 32.97

Structure (extended XYZ):
```
3
Lattice="4.049 1.453 2.905 -0.688 3.301 3.947 0.420 -1.681 4.893" Properties=species:S:1:pos:R:3 pbc="T T T"
Ba 0.945 0.768 2.936
Hf 0.000 0.000 0.000
In 2.836 2.304 8.808
```